Record 1
5
Lattice="3.830 0.000 0.000 0.000 6.283 0.000 0.000 0.000 3.830" Properties=species:S:1:pos:R:3 comment="YGaH2Pt, optimized geometry, DFT PBE" relative_energy_ev_per_fu=2.02 crystal_system=tetragonal mass_density_g_cm3=6.408 magmom_total_mub_per_cell=0.00 space_group="P4/mmm, No. 123" dos_at_fermi_per_ev_atom=0.31 pbc="T T T"
Y 0.000 3.142 0.000
H 0.000 0.000 1.915
H 1.915 0.000 0.000
Ga 0.000 0.000 0.000
Pt 1.915 3.142 1.915

=====

Record 2
5
Lattice="-0.324 2.496 2.998 -4.455 -2.041 1.218 1.814 -2.567 2.334" Properties=species:S:1:pos:R:3 comment="YGaH2Pt, optimized geometry, DFT PBE" relative_energy_ev_per_fu=0.00 crystal_system=tetragonal mass_density_g_cm3=7.633 magmom_total_mub_per_cell=0.00 space_group="P4/mmm, No. 123" dos_at_fermi_per_ev_atom=0.29 pbc="T T T"
Y -1.482 -1.056 3.275
H 0.907 -1.284 1.167
H -0.162 1.248 1.499
Ga 0.000 0.000 0.000
Pt -2.227 -1.021 0.609

=====

Record 3
5
Lattice="-0.334 -2.231 -4.422 1.827 -4.175 1.969 -3.462 -1.124 0.829" Properties=species:S:1:pos:R:3 comment="Y2GaHPt, optimized geometry, DFT PBE" crystal_system=tetragonal mass_density_g_cm3=8.005 total_energy_ev_per_cell=-29.059 magmom_total_mub_per_cell=0.00 space_group="P4/mmm, No. 123" dos_at_fermi_per_ev_atom=0.38 pbc="T T T"
Y 0.914 -2.088 0.984
Y -0.167 -1.116 -2.211
H 0.000 0.000 0.000
Ga -0.984 -3.766 -0.813
Pt -1.731 -0.562 0.414

=====

Record 4
5
Lattice="4.689 0.000 0.000 0.000 4.689 0.000 0.000 0.000 4.689" Properties=species:S:1:pos:R:3 comment="Pu3GaH, optimized geometry, DFT PBE" crystal_system=cubic mass_density_g_cm3=12.929 total_energy_ev_per_cell=-50.225 magmom_total_mub_per_cell=17.83 space_group="Pm-3m, No. 221" dos_at_fermi_per_ev_atom=3.04 pbc="T T T"
H 0.000 0.000 0.000
Ga 2.345 2.345 2.345
Pu 0.000 2.345 0.000
Pu 0.000 0.000 2.345
Pu 2.345 0.000 0.000

=====

Record 5
12
Lattice="7.440 2.706 0.202 -7.440 2.706 0.202 0.000 1.620 5.074" Properties=species:S:1:pos:R:3 comment="Pu4GaH, optimized geometry, DFT PBE" crystal_system=monoclinic mass_density_g_cm3=17.429 total_energy_ev_per_cell=-126.106 magmom_total_mub_per_cell=0.00 space_group="C2/c, No. 15" dos_at_fermi_per_ev_atom=2.27 pbc="T T T"
Pu -1.122 4.213 1.048
Pu 4.264 4.042 5.203
Pu -1.122 2.009 1.892
Pu 4.264 3.800 2.812
Pu -4.264 3.232 2.666
Pu 1.122 5.023 3.585
Pu -4.264 2.990 0.274
Pu 1.122 2.819 4.429
Ga 1.687 3.111 1.470
Ga -1.687 3.921 4.007
H 7.216 3.921 4.007
H -7.216 3.111 1.470

=====

Record 6
16
Lattice="-4.517 -1.305 -1.574 2.191 -0.864 -5.571 1.348 -6.525 1.543" Properties=species:S:1:pos:R:3 comment="PuGaH2, optimized geometry, DFT PBE" relative_energy_ev_per_fu=0.43 crystal_system=orthorhombic mass_density_g_cm3=10.226 magmom_total_mub_per_cell=21.57 space_group="Pnma, No. 62" dos_at_fermi_per_ev_atom=1.99 pbc="T T T"
Pu -0.424 -7.063 -4.642
Pu 0.551 -5.065 -1.286
Pu -0.555 -1.632 -0.960
Pu -1.529 -3.630 -4.316
Ga 0.330 -1.162 -3.889
Ga -1.308 -7.533 -1.713
Ga -2.467 -4.079 -1.253
Ga 1.488 -4.616 -4.349
H -2.459 -2.696 -6.167
H 1.270 -2.919 -1.383
H 1.481 -5.999 0.565
H -2.248 -5.776 -4.219
H -0.686 -6.625 -0.190
H -0.897 -3.545 -2.138
H -0.293 -2.070 -5.412
H -0.081 -5.150 -3.464

=====

Record 7
4
Lattice="3.851 0.000 0.000 1.926 3.335 0.000 1.926 1.112 4.256" Properties=species:S:1:pos:R:3 comment="PuGaH2, optimized geometry, DFT PBE" relative_energy_ev_per_fu=0.88 crystal_system=trigonal mass_density_g_cm3=9.591 magmom_total_mub_per_cell=5.32 space_group="R-3m, No. 166" dos_at_fermi_per_ev_atom=2.57 pbc="T T T"
H 3.851 2.223 4.246
H 3.851 2.223 0.010
Ga 3.851 2.223 2.128
Pu 0.000 0.000 0.000

=====

Record 8
7
Lattice="-0.958 -3.456 -2.765 -2.469 -1.931 3.269 -4.540 6.436 -2.764" Properties=species:S:1:pos:R:3 comment="Pu4Ga2H, optimized geometry, DFT PBE" crystal_system=tetragonal mass_density_g_cm3=11.728 total_energy_ev_per_cell=-67.458 magmom_total_mub_per_cell=23.32 space_group="I4/mmm, No. 139" dos_at_fermi_per_ev_atom=4.08 pbc="T T T"
H 0.000 0.000 0.000
Ga -3.364 -1.706 -0.411
Ga -4.603 2.755 -1.849
Pu -5.762 -0.270 -1.374
Pu -2.205 1.320 -0.886
Pu -1.234 -0.965 1.634
Pu -0.479 -1.728 -1.382

=====

Record 9
11
Lattice="-2.415 2.039 -1.522 -4.631 -3.137 3.142 4.704 7.489 6.611" Properties=species:S:1:pos:R:3 comment="Pu8Ga2H, optimized geometry, DFT PBE" crystal_system=monoclinic mass_density_g_cm3=15.120 total_energy_ev_per_cell=-123.438 magmom_total_mub_per_cell=23.71 space_group="C2/m, No. 12" dos_at_fermi_per_ev_atom=3.10 pbc="T T T"
Pu -1.513 4.670 4.614
Pu -2.454 -0.181 3.650
Pu -1.213 3.687 6.862
Pu -1.090 -0.606 0.917
Pu -1.128 2.704 1.369
Pu 0.114 6.572 4.581
Pu -0.827 1.721 3.617
Pu -1.250 6.997 7.314
Ga 1.090 3.839 3.414
Ga -3.430 2.552 4.817
H -1.207 1.020 -0.761

=====

Record 10
10
Lattice="3.876 0.000 -1.222 0.000 4.525 0.000 -0.257 0.000 6.006" Properties=species:S:1:pos:R:3 comment="PuGaH3, optimized geometry, DFT PBE" crystal_system=monoclinic mass_density_g_cm3=10.124 total_energy_ev_per_cell=-57.206 magmom_total_mub_per_cell=10.95 space_group="P2_1/m, No. 11" dos_at_fermi_per_ev_atom=1.80 pbc="T T T"
Pu 3.163 3.394 3.283
Pu 0.455 1.131 1.500
Ga 2.194 3.394 0.124
Ga 1.424 1.131 4.659
H 2.579 0.109 1.473
H 1.039 4.416 3.310
H 1.039 2.372 3.310
H 2.579 2.153 1.473
H 0.399 3.394 0.712
H 3.219 1.131 4.072

=====

Record 11
8
Lattice="4.088 0.000 0.000 0.000 4.102 -0.053 0.000 -1.976 5.747" Properties=species:S:1:pos:R:3 comment="PuGaH2, optimized geometry, DFT PBE" relative_energy_ev_per_fu=0.00 crystal_system=orthorhombic mass_density_g_cm3=10.927 magmom_total_mub_per_cell=9.95 space_group="Cmcm, No. 63" dos_at_fermi_per_ev_atom=2.11 pbc="T T T"
Pu 1.022 2.074 1.726
Pu 3.066 0.052 3.968
Ga 3.066 0.010 0.768
Ga 1.022 2.116 4.926
H 3.066 2.089 2.847
H 1.022 0.037 2.846
H 3.066 2.061 0.573
H 1.022 0.066 5.121

=====

Record 12
7
Lattice="-1.401 -0.616 -2.953 -1.047 -2.685 1.057 -8.624 5.264 4.829" Properties=species:S:1:pos:R:3 comment="Pu2Ga3H2, optimized geometry, DFT PBE" crystal_system=monoclinic mass_density_g_cm3=10.265 total_energy_ev_per_cell=-45.828 magmom_total_mub_per_cell=11.36 space_group="P2/m, No. 10" dos_at_fermi_per_ev_atom=1.50 pbc="T T T"
Pu -7.961 2.611 3.202
Pu -3.110 -0.647 -0.270
Ga -3.790 2.014 1.361
Ga 0.000 0.000 0.000
Ga -6.235 2.634 0.514
H -1.681 0.894 0.605
H -8.343 3.754 1.271

=====

Record 13
10
Lattice="-0.628 0.837 2.879 5.056 -3.732 0.558 4.619 6.142 -0.778" Properties=species:S:1:pos:R:3 comment="PuGaHRh2, optimized geometry, DFT PBE" crystal_system=orthorhombic mass_density_g_cm3=11.937 total_energy_ev_per_cell=-75.597 magmom_total_mub_per_cell=9.99 space_group="Cmcm, No. 63" dos_at_fermi_per_ev_atom=1.89 pbc="T T T"
Pu 8.025 1.420 1.337
Pu 1.023 1.827 1.322
Ga 5.535 3.359 1.860
Ga 3.513 -0.112 0.798
H 0.000 0.000 0.000
H 2.310 3.071 -0.389
Rh 5.836 4.921 -0.158
Rh 3.212 -1.675 2.817
Rh 3.892 2.336 0.169
Rh 5.156 0.911 2.489

=====

Record 14
10
Lattice="3.930 0.000 0.000 -1.965 5.296 0.000 0.000 0.000 5.939" Properties=species:S:1:pos:R:3 comment="PuGaH2Ru, optimized geometry, DFT PBE" crystal_system=orthorhombic mass_density_g_cm3=11.198 total_energy_ev_per_cell=-70.608 magmom_total_mub_per_cell=10.07 space_group="Cmcm, No. 63" dos_at_fermi_per_ev_atom=2.12 pbc="T T T"
Pu 1.965 2.119 4.454
Pu 0.000 3.178 1.485
Ga 0.000 4.433 4.454
Ga 1.965 0.864 1.485
H 0.000 1.734 5.616
H 1.965 3.562 0.323
H 0.000 1.734 3.292
H 1.965 3.562 2.647
Ru 0.000 0.000 0.000
Ru 0.000 0.000 2.969

=====

Record 15
18
Lattice="5.777 -0.290 -0.206 2.601 5.166 -0.206 2.601 1.514 4.944" Properties=species:S:1:pos:R:3 comment="Pu2GaH12Ru3, optimized geometry, DFT PBE" crystal_system=trigonal mass_density_g_cm3=9.342 total_energy_ev_per_cell=-101.258 magmom_total_mub_per_cell=12.07 space_group="R-3m, No. 166" dos_at_fermi_per_ev_atom=1.11 pbc="T T T"
Pu 6.773 3.943 2.796
Pu 4.205 2.448 1.736
Ga 0.000 0.000 0.000
H 5.124 2.983 4.205
H 8.317 4.841 1.486
H 6.719 5.749 4.078
H 6.839 2.009 1.425
H 8.317 3.003 4.078
H 5.124 4.955 1.425
H 5.854 3.408 0.328
H 2.662 1.549 3.046
H 4.260 0.642 0.455
H 4.140 4.382 3.108
H 2.662 3.387 0.455
H 5.854 1.436 3.108
Ru 2.888 -0.145 -0.103
Ru 1.300 2.583 -0.103
Ru 1.300 0.757 2.472

=====

Record 16
8
Lattice="-4.040 -3.160 -0.771 -0.554 -0.543 5.128 -5.856 2.677 2.274" Properties=species:S:1:pos:R:3 comment="RbGaH2, optimized geometry, DFT PBE" relative_energy_ev_per_fu=1.48 crystal_system=tetragonal mass_density_g_cm3=3.370 magmom_total_mub_per_cell=0.00 space_group="I-42d, No. 122" dos_at_fermi_per_ev_atom=0.06 pbc="T T T"
H -3.053 -0.588 0.919
H -3.320 -0.851 3.485
H -6.252 0.484 4.615
H -8.274 -1.097 4.242
Ga -2.297 -1.851 2.179
Ga -4.353 0.141 4.790
Rb 0.000 0.000 0.000
Rb -6.096 -1.167 1.841

=====

Record 17
11
Lattice="-1.911 -0.257 -4.213 2.774 -3.543 -1.107 -6.313 -8.073 0.982" Properties=species:S:1:pos:R:3 comment="Rb3Ga2H6, optimized geometry, DFT PBE" crystal_system=monoclinic mass_density_g_cm3=3.160 total_energy_ev_per_cell=-29.885 magmom_total_mub_per_cell=0.00 space_group="C2/m, No. 12" dos_at_fermi_per_ev_atom=0.20 pbc="T T T"
Rb 0.000 0.000 0.000
Rb -1.548 -5.932 -3.939
Rb -3.902 -5.941 -0.400
Ga -0.753 -2.857 -1.886
Ga -4.697 -9.016 -2.453
H -5.388 -8.942 -3.995
H -3.560 -10.224 -2.783
H -0.062 -2.931 -0.344
H -1.890 -1.649 -1.556
H -3.595 -7.668 -2.689
H -1.855 -4.205 -1.650

=====

Record 18
20
Lattice="7.665 0.000 0.000 0.000 7.777 0.543 0.000 2.277 7.456" Properties=species:S:1:pos:R:3 comment="Rb3GaH6, optimized geometry, DFT PBE" crystal_system=orthorhombic mass_density_g_cm3=2.536 total_energy_ev_per_cell=-55.524 magmom_total_mub_per_cell=0.00 space_group="Cmc2_1, No. 36" dos_at_fermi_per_ev_atom=0.00 pbc="T T T"
Rb 4.207 8.820 5.327
Rb 0.374 7.172 7.398
Rb 4.791 5.186 3.800
Rb 0.958 4.868 4.199
Rb 0.374 1.234 2.673
Rb 4.207 2.882 0.602
Ga 6.958 2.949 6.612
Ga 3.125 7.105 1.388
H 2.795 6.365 5.787
H 6.627 7.069 4.902
H 0.109 4.238 7.084
H 3.942 7.855 2.539
H 6.689 7.474 0.925
H 5.557 3.440 5.994
H 1.724 6.614 2.005
H 2.856 2.580 7.075
H 0.109 2.198 5.461
H 3.942 5.815 0.915
H 2.795 2.985 3.097
H 6.627 3.689 2.213

=====

Record 19
16
Lattice="4.521 0.000 0.000 0.000 7.495 0.000 0.000 0.000 9.526" Properties=species:S:1:pos:R:3 comment="RbGaH2, optimized geometry, DFT PBE" relative_energy_ev_per_fu=0.00 crystal_system=orthorhombic mass_density_g_cm3=3.235 magmom_total_mub_per_cell=0.00 space_group="Pnma, No. 62" pbc="T T T"
Rb 3.391 2.832 6.418
Rb 3.391 6.579 7.870
Rb 1.130 0.916 1.655
Rb 1.130 4.663 3.108
Ga 1.130 0.474 5.087
Ga 1.130 4.222 9.201
Ga 3.391 3.273 0.324
Ga 3.391 7.020 4.438
H 3.391 5.414 4.936
H 1.130 0.760 6.726
H 1.130 4.508 7.562
H 3.391 1.667 9.352
H 1.130 5.828 0.174
H 3.391 2.987 1.963
H 3.391 6.734 2.799
H 1.130 2.081 4.589

=====

Record 20
4
Lattice="4.612 -2.688 0.392 0.196 -4.593 2.742 0.622 -4.641 -2.593" Properties=species:S:1:pos:R:3 comment="RbGa2H, optimized geometry, DFT PBE" relative_energy_ev_per_fu=2.73 crystal_system=cubic mass_density_g_cm3=3.460 magmom_total_mub_per_cell=0.00 space_group="Fm-3m, No. 225" dos_at_fermi_per_ev_atom=0.96 pbc="T T T"
H 0.000 0.000 0.000
Ga 1.357 -2.980 0.135
Ga 4.072 -8.941 0.405
Rb 2.715 -5.961 0.270